1.
Density functional theory data (PBE-GGA) for a relaxed SrScVW2 crystal.

a b c (Å): 4.7352 4.7352 5.2733
angles (deg): 90.00 90.00 90.00
Space group P4/mmm (No. 123)
Symmetry-distinct sites (fractional):
Sr: 0.0000 0.0000 0.0000
Sc: 0.0000 0.0000 0.5000
V: 0.5000 0.5000 0.0000
W: 0.0000 0.5000 0.5000

Crystal system: tetragonal
E (hartree per atom): -0.2281

=====

2.
Density functional theory data (PBE-GGA) for a relaxed Sr2ScW crystal.

a b c (Å): 5.1797 5.1797 8.2818
angles (deg): 90.00 90.00 90.00
Space group I-4m2 (No. 119)
Symmetry-distinct sites (fractional):
Sr: 0.0000 0.0000 0.0000
Sr: 0.0000 0.5000 0.2500
Sc: 0.0000 0.0000 0.5000
W: 0.0000 0.5000 0.7500

Crystal system: tetragonal
E (hartree per atom): -0.1710
Excess energy over the best structure of this formula in the dataset (meV/atom): 395

=====

These records have energy of formation values of 2.4003, 1.0103 eV per atom, in the order they appear.